# Li2BiCl (PBE, optimized geometry)
# Distance to the lowest polymorph of the same formula: 25.9 meV/atom
# D(E_F): 0.94 states/eV/f.u.
# Density: 5.13 g cm⁻³
data_Li2BiCl
_chemical_formula_sum 'Li2 Bi1 Cl1'
_symmetry_space_group_name_H-M 'P 1'
_symmetry_Int_Tables_number 1
_symmetry_space_group_name_Hall 'P 1'
_cell_length_a 3.5065
_cell_length_b 3.5065
_cell_length_c 8.1162
_cell_angle_alpha 77.52
_cell_angle_beta 77.52
_cell_angle_gamma 60.00
loop_
_atom_site_label
_atom_site_fract_x
_atom_site_fract_y
_atom_site_fract_z
Cl1 0.6679 0.6679 0.9962
Li1 0.2692 0.2692 0.1923
Li2 0.0641 0.0641 0.8077
Bi1 0.4987 0.4987 0.5038